[1]
DFT (PBE) results for a geometry-optimized NaCd3Ni structure.

Computed properties:
- ΔE to the lowest computed polymorph (meV per atom) = 1033.2
- space-group type = Pm-3m (221)
- crystal system = cubic
- ΔE_f (meV per atom) = 1060

Unit cell a=5.2897 b=5.2897 c=5.2897 alpha=90.00 beta=90.00 gamma=90.00
Fractional positions:
Cd 0.5000 0.0000 0.0000
Cd 0.0000 0.5000 0.0000
Cd 0.0000 0.0000 0.5000
Na 0.0000 0.0000 0.0000
Ni 0.5000 0.5000 0.5000



[2]
DFT (PBE) results for a geometry-optimized BaPu2Cl6 structure.

Computed properties:
- uncorrected formation energy (kJ/mol of atoms) = -190.7
- space-group type = C2/c (15)
- crystal system = monoclinic

Unit cell a=6.6822 b=9.3639 c=9.3639 alpha=61.50 beta=76.53 gamma=76.53
Last column: magnetic moment on the atom in μB.
Fractional positions:
Cl 0.7268 0.5507 0.0504  -0.03
Cl 0.6496 0.3331 0.4617  -0.02
Pu 0.5012 0.2554 0.2441  5.75
Cl 0.2732 0.4493 0.9496  -0.03
Cl 0.3504 0.6669 0.5383  -0.02
Cl 0.1468 0.8319 0.9627  -0.02
Cl 0.8532 0.1681 0.0373  -0.02
Pu 0.4988 0.7446 0.7559  5.75
Cl 0.2268 0.0504 0.5507  -0.03
Cl 0.6468 0.9627 0.8319  -0.02
Ba 0.2500 0.2520 0.7480  0.01
Cl 0.7732 0.9496 0.4493  -0.03
Pu 0.9988 0.7559 0.7446  5.75
Cl 0.1496 0.4617 0.3331  -0.02
Pu 0.0012 0.2441 0.2554  5.75
Cl 0.8504 0.5383 0.6669  -0.02
Cl 0.3532 0.0373 0.1681  -0.02
Ba 0.7500 0.7480 0.2520  0.01



[3]
DFT (PBE) results for a geometry-optimized Li2PuH8Ir structure.

Computed properties:
- space-group type = P-3m1 (164)
- total DFT energy (no corrections) (eV/atom) = -4.856
- crystal system = trigonal

Unit cell a=4.4063 b=4.4063 c=6.1361 alpha=90.00 beta=90.00 gamma=120.00
Last column: magnetic moment on the atom in μB.
Fractional positions:
H 0.3333 0.6667 0.5448  -0.03
Ir 0.0000 0.0000 0.0000  -0.02
H 0.8267 0.6534 0.8320  -0.01
Li 0.3333 0.6667 0.8714  0.00
H 0.3466 0.1733 0.8320  -0.01
Pu 0.0000 0.0000 0.5000  5.03
H 0.6667 0.3333 0.4552  -0.03
H 0.1733 0.8267 0.1680  -0.01
H 0.6534 0.8267 0.1680  -0.01
Li 0.6667 0.3333 0.1286  0.00
H 0.8267 0.1733 0.8320  -0.01
H 0.1733 0.3466 0.1680  -0.01



[4]
DFT (PBE) results for a geometry-optimized CdRe3Hg structure.

Computed properties:
- ΔE to the lowest computed polymorph (meV per atom) = 0.0
- space-group type = Pm-3m (221)
- crystal system = cubic
- ΔE_f (meV per atom) = 3138

Unit cell a=4.9409 b=4.9409 c=4.9409 alpha=90.00 beta=90.00 gamma=90.00
Last column: magnetic moment on the atom in μB.
Fractional positions:
Re 0.5000 0.0000 0.0000  1.03
Cd 0.5000 0.5000 0.5000  -0.04
Hg 0.0000 0.0000 0.0000  0.06
Re 0.0000 0.5000 0.0000  1.23
Re 0.0000 0.0000 0.5000  1.60



[5]
DFT (PBE) results for a geometry-optimized InAgP2O7 structure.

Computed properties:
- uncorrected formation energy (kJ/mol of atoms) = -176.6
- space-group type = P2_1/c (14)
- crystal system = monoclinic

Unit cell a=8.5375 b=7.5626 c=9.9503 alpha=68.45 beta=90.00 gamma=90.00
Fractional positions:
P 0.7918 0.1780 0.5561
O 0.1395 0.3026 0.4133
P 0.2918 0.8220 0.9439
O 0.3797 0.8645 0.3920
O 0.2079 0.3278 0.1204
P 0.2082 0.8220 0.4439
O 0.1203 0.8645 0.8920
O 0.8047 0.1895 0.4001
O 0.7921 0.6722 0.8796
O 0.9116 0.0482 0.6610
O 0.8605 0.6974 0.5867
O 0.6953 0.1895 0.9001
O 0.3365 0.6178 0.9348
O 0.0884 0.9518 0.3390
O 0.9041 0.5275 0.1370
Ag 0.9648 0.7976 0.1907
O 0.8365 0.3822 0.5652
P 0.2444 0.4206 0.9595
O 0.6635 0.3822 0.0652
O 0.1953 0.8105 0.5999
Ag 0.5352 0.7976 0.6907
O 0.5959 0.5275 0.6370
In 0.0042 0.2434 0.2556
Ag 0.0352 0.2024 0.8093
O 0.4116 0.9518 0.8390
P 0.7082 0.1780 0.0561
O 0.0959 0.4725 0.8630
O 0.5884 0.0482 0.1610
P 0.2556 0.4206 0.4595
P 0.7444 0.5794 0.5405
O 0.2921 0.3278 0.6204
In 0.9958 0.7566 0.7444
P 0.7556 0.5794 0.0405
O 0.6203 0.1355 0.6080
O 0.7079 0.6722 0.3796
O 0.8797 0.1355 0.1080
O 0.3047 0.8105 0.0999
In 0.5042 0.7566 0.2444
Ag 0.4648 0.2024 0.3093
O 0.1635 0.6178 0.4348
In 0.4958 0.2434 0.7556
O 0.4041 0.4725 0.3630
O 0.3605 0.3026 0.9133
O 0.6395 0.6974 0.0867



[6]
DFT (PBE) results for a geometry-optimized LiLa2Br structure.

Computed properties:
- ΔE to the lowest computed polymorph (meV per atom) = 140.8
- uncorrected formation energy (kJ/mol of atoms) = -39.5
- space-group type = Imm2 (44)
- crystal system = orthorhombic

Unit cell a=6.5639 b=6.5639 c=6.5639 alpha=147.92 beta=129.52 gamma=61.08
Last column: magnetic moment on the atom in μB.
Fractional positions:
La 0.7510 0.2510 0.5000  0.15
Br 0.2669 0.7669 0.5000  0.01
La 0.0231 0.0231 0.0000  0.10
Li 0.4590 0.4590 0.0000  0.01



Computed values of magnetization (unit: μB/f.u.) for the preceding records, in sequence: 0.001, 12.000, 5.000, 4.382, 0.000, 0.566.